Entry 1:
## SrScTlCr2 (PBE)

Data for a geometry-optimized SrScTlCr2 structure.

Cell lengths 5.3377, 5.3377, 5.5028 Å; angles 90.00, 90.00, 90.00 degrees
Space group P4/mmm (No. 123)
Symmetry-distinct sites (fractional):
Sr 0.0000 0.0000 0.0000 [1 per cell]
Sc 0.0000 0.0000 0.5000 [1 per cell]
Tl 0.5000 0.5000 0.5000 [1 per cell]
Cr 0.0000 0.5000 0.0000 [2 per cell]

As for the spin magnetization: 7.82 μB per formula unit. The value obtained for the energy of formation is 8.83 eV per formula unit.

Entry 2:
## Er2Tm3Bi (PBE)

Data for a geometry-optimized Er2Tm3Bi structure.

Cell lengths 7.9591, 3.9578, 11.3293 Å; angles 90.00, 90.07, 90.00 degrees
Space group P2_1/m (No. 11)
Symmetry-distinct sites (fractional):
Er 0.1050 0.2500 0.4019 [2 per cell]
Er 0.3596 0.7500 0.9232 [2 per cell]
Tm 0.1022 0.2500 0.0992 [2 per cell]
Tm 0.3623 0.7500 0.5769 [2 per cell]
Tm 0.3832 0.7500 0.2491 [2 per cell]
Bi 0.1466 0.2500 0.7484 [2 per cell]

As for the spin magnetization: 0.88 μB per formula unit. The value obtained for the energy of formation is -1.10 eV per formula unit.

Entry 3:
## TbPrHgRu (PBE)

Data for a geometry-optimized TbPrHgRu structure.

Cell lengths 3.5460, 3.5460, 7.7201 Å; angles 90.00, 90.00, 90.00 degrees
Space group P4mm (No. 99)
Symmetry-distinct sites (fractional):
Tb 0.0000 0.0000 0.0000 [1 per cell]
Pr 0.0000 0.0000 0.4406 [1 per cell]
Hg 0.5000 0.5000 0.7367 [1 per cell]
Ru 0.5000 0.5000 0.2080 [1 per cell]

For the energy above the most stable polymorph in this dataset, the calculation gives 0.0 meV per atom. As for the spin magnetization: 0.00 μB per formula unit. The value obtained for the energy of formation is -1.48 eV per formula unit.

Entry 4:
## K4NpU3Te8 (PBE)

Data for a geometry-optimized K4NpU3Te8 structure.

Cell lengths 8.9994, 8.9994, 24.9303 Å; angles 90.00, 90.00, 120.00 degrees
Space group R-3m (No. 166, hexagonal axes)
Symmetry-distinct sites (fractional):
K 0.0000 0.0000 0.0000 [3 per cell]
K 0.0000 0.5000 0.0000 [9 per cell]
Np 0.0000 0.0000 0.5000 [3 per cell]
U 0.0000 0.5000 0.5000 [9 per cell]
Te 0.0000 0.0000 0.2374 [6 per cell]
Te 0.0014 0.5007 0.7626 [18 per cell]

The uncorrected formation energy is -0.862 eV per atom. As for the spin magnetization: 13.00 μB per formula unit.

Entry 5:
## LiAlPbO3 (PBE)

Data for a geometry-optimized LiAlPbO3 structure.

Cell lengths 5.3623, 9.9855, 5.2730 Å; angles 90.00, 90.00, 90.00 degrees
Space group Cmcm (No. 63)
Symmetry-distinct sites (fractional):
Li 0.0000 0.0715 0.2500 [4 per cell]
Al 0.0000 0.4539 0.2500 [4 per cell]
Pb 0.0000 0.2172 0.7500 [4 per cell]
O 0.0000 0.2705 0.2500 [4 per cell]
O 0.2336 0.5000 0.0000 [8 per cell]

The uncorrected formation energy is -2.022 eV per atom. As for the spin magnetization: 0.00 μB per formula unit.

Entry 6:
## PuIn (PBE)

Data for a geometry-optimized PuIn structure.

Cell lengths 5.7235, 3.3214, 5.8662 Å; angles 90.00, 108.79, 90.00 degrees
Space group C2/m (No. 12)
Symmetry-distinct sites (fractional):
Pu 0.0000 0.0000 0.0000 [2 per cell]
In 0.0000 0.5000 0.5000 [2 per cell]

As for the spin magnetization: 5.97 μB per formula unit. The value obtained for the energy of formation is -0.02 eV per formula unit.